Entry 1:
DFT (meta-GGA SCAN) results for a PBEsol-optimized structure of Pb4W.

Cell lengths 4.0122, 4.0122, 17.6932 Å; angles 90.00, 90.00, 90.00 degrees
Fractional coordinates of all 10 atoms:
Pb: 0.0000 0.0000 0.0851
Pb: 0.0000 0.0000 0.9149
Pb: 0.0000 0.5000 0.2500
Pb: 0.0000 0.5000 0.7500
Pb: 0.5000 0.0000 0.2500
Pb: 0.5000 0.0000 0.7500
Pb: 0.5000 0.5000 0.4149
Pb: 0.5000 0.5000 0.5851
W: 0.0000 0.0000 0.5000
W: 0.5000 0.5000 0.0000

Output
space-group type	I4/mmm

***

Entry 2:
DFT (meta-GGA SCAN) results for a PBEsol-optimized structure of Zr4Al11Si.

Cell lengths 3.9502, 3.9936, 17.0588 Å; angles 90.00, 90.00, 90.00 degrees
Fractional coordinates of all 16 atoms:
Zr: 0.0000 0.0000 0.1144
Zr: 0.0000 0.0000 0.8856
Zr: 0.5000 0.5000 0.3795
Zr: 0.5000 0.5000 0.6205
Al: 0.0000 0.0000 0.3752
Al: 0.0000 0.0000 0.6248
Al: 0.0000 0.5000 0.0000
Al: 0.0000 0.5000 0.2491
Al: 0.0000 0.5000 0.5000
Al: 0.0000 0.5000 0.7509
Al: 0.5000 0.0000 0.2492
Al: 0.5000 0.0000 0.5000
Al: 0.5000 0.0000 0.7508
Al: 0.5000 0.5000 0.1272
Al: 0.5000 0.5000 0.8728
Si: 0.5000 0.0000 0.0000

Output
E_form (uncorrected)	-0.493	eV per atom
space-group type	Pmmm

***

Entry 3:
DFT (meta-GGA SCAN) results for a PBEsol-optimized structure of La2AgGeOs.

Cell lengths 5.6583, 5.6583, 4.4808 Å; angles 90.00, 90.00, 90.00 degrees
Fractional coordinates of all 5 atoms:
La: 0.0000 0.5000 0.0000
La: 0.5000 0.0000 0.0000
Ag: 0.0000 0.0000 0.5000
Ge: 0.5000 0.5000 0.0000
Os: 0.5000 0.5000 0.5000

Output
space-group type	P4/mmm

***

Entry 4:
DFT (meta-GGA SCAN) results for a PBEsol-optimized structure of ScNF2.

Cell lengths 3.5577, 3.5577, 12.7439 Å; angles 90.00, 90.00, 120.00 degrees
Fractional coordinates of all 12 atoms:
Sc: 0.0000 0.0000 0.0000
Sc: 0.3333 0.6667 0.6667
Sc: 0.6667 0.3333 0.3333
N: 0.0000 0.0000 0.5000
N: 0.3333 0.6667 0.1667
N: 0.6667 0.3333 0.8333
F: 0.0000 0.0000 0.2894
F: 0.0000 0.0000 0.7106
F: 0.3333 0.6667 0.3773
F: 0.3333 0.6667 0.9561
F: 0.6667 0.3333 0.0439
F: 0.6667 0.3333 0.6227

Output
E_form (uncorrected)	-1.732	eV per atom
space-group type	R-3m

***

Entry 5:
DFT (meta-GGA SCAN) results for a PBEsol-optimized structure of Sc2TlCl.

Cell lengths 3.4551, 4.4910, 5.6130 Å; angles 90.00, 90.00, 90.00 degrees
Fractional coordinates of all 4 atoms:
Sc: 0.0000 0.0000 0.0000
Sc: 0.5000 0.5000 0.4745
Tl: 0.0000 0.0000 0.5003
Cl: 0.5000 0.5000 0.9961

Output
E_form (uncorrected)	-0.862	eV per atom
space-group type	Pmm2
E above lowest polymorph	0.000	eV/atom

***

Entry 6:
DFT (meta-GGA SCAN) results for a PBEsol-optimized structure of Sr2ReAsPb.

Cell lengths 6.0189, 6.0189, 5.0475 Å; angles 90.00, 90.00, 90.00 degrees
Fractional coordinates of all 5 atoms:
Sr: 0.0000 0.5000 0.0000
Sr: 0.5000 0.0000 0.0000
Re: 0.0000 0.0000 0.5000
As: 0.5000 0.5000 0.5000
Pb: 0.0000 0.0000 0.0000

Output
space-group type	P4/mmm

***

Entry 7:
DFT (meta-GGA SCAN) results for a PBEsol-optimized structure of Sb2H20Cl12O9.

Cell lengths 11.5993, 11.5993, 12.2015 Å; angles 119.61, 119.61, 61.40 degrees
Fractional coordinates of all 86 atoms:
Sb: 0.1436 0.6480 0.9384
Sb: 0.3520 0.8564 0.5616
Sb: 0.6480 0.1436 0.4384
Sb: 0.8564 0.3520 0.0616
H: 0.0041 0.0211 0.7003
H: 0.0086 0.8055 0.6159
H: 0.0211 0.0041 0.2003
H: 0.0598 0.6513 0.5045
H: 0.1259 0.2923 0.5009
H: 0.1617 0.5127 0.1860
H: 0.1945 0.9914 0.8841
H: 0.2027 0.4874 0.3796
H: 0.2233 0.3914 0.5123
H: 0.2710 0.5654 0.5329
H: 0.2923 0.1259 0.0009
H: 0.2966 0.3078 0.1144
H: 0.3078 0.2966 0.6144
H: 0.3121 0.5059 0.2883
H: 0.3487 0.9402 0.9955
H: 0.3914 0.2233 0.0123
H: 0.4346 0.7290 0.9671
H: 0.4874 0.2027 0.8796
H: 0.4873 0.8383 0.3140
H: 0.4941 0.6879 0.2117
H: 0.5059 0.3121 0.7883
H: 0.5127 0.1617 0.6860
H: 0.5126 0.7973 0.1204
H: 0.5654 0.2710 0.0329
H: 0.6086 0.7767 0.9877
H: 0.6513 0.0598 0.0045
H: 0.6879 0.4941 0.7117
H: 0.6922 0.7034 0.3856
H: 0.7034 0.6922 0.8856
H: 0.7077 0.8741 0.9991
H: 0.7290 0.4346 0.4671
H: 0.7767 0.6086 0.4877
H: 0.7973 0.5126 0.6204
H: 0.8055 0.0086 0.1159
H: 0.8383 0.4873 0.8140
H: 0.8741 0.7077 0.4991
H: 0.9402 0.3487 0.4955
H: 0.9789 0.9959 0.7997
H: 0.9914 0.1945 0.3841
H: 0.9959 0.9789 0.2997
Cl: 0.0303 0.6700 0.0697
Cl: 0.0714 0.2481 0.2035
Cl: 0.1221 0.4228 0.7998
Cl: 0.1262 0.8274 0.4200
Cl: 0.1726 0.8738 0.0800
Cl: 0.2481 0.0714 0.7035
Cl: 0.2673 0.6254 0.8132
Cl: 0.3300 0.9697 0.4303
Cl: 0.3677 0.5443 0.0819
Cl: 0.3746 0.7326 0.6868
Cl: 0.4228 0.1221 0.2998
Cl: 0.4557 0.6323 0.4181
Cl: 0.5443 0.3677 0.5819
Cl: 0.5772 0.8779 0.7002
Cl: 0.6254 0.2673 0.3132
Cl: 0.6323 0.4557 0.9181
Cl: 0.6700 0.0303 0.5697
Cl: 0.7326 0.3746 0.1868
Cl: 0.7519 0.9286 0.2965
Cl: 0.8274 0.1262 0.9200
Cl: 0.8738 0.1726 0.5800
Cl: 0.8779 0.5772 0.2002
Cl: 0.9286 0.7519 0.7965
Cl: 0.9697 0.3300 0.9303
O: 0.0219 0.2671 0.4721
O: 0.0430 0.9570 0.7500
O: 0.1979 0.5192 0.4707
O: 0.2311 0.3107 0.5294
O: 0.2427 0.4550 0.2394
O: 0.2671 0.0219 0.9721
O: 0.3107 0.2311 0.0294
O: 0.4550 0.2427 0.7394
O: 0.4808 0.8021 0.0293
O: 0.5192 0.1979 0.9707
O: 0.5450 0.7573 0.2606
O: 0.6893 0.7689 0.9706
O: 0.7329 0.9781 0.0279
O: 0.7573 0.5450 0.7606
O: 0.7689 0.6893 0.4706
O: 0.8021 0.4808 0.5293
O: 0.9570 0.0430 0.2500
O: 0.9781 0.7329 0.5279

Output
space-group type	C2/c

***

Entry 8:
DFT (meta-GGA SCAN) results for a PBEsol-optimized structure of Mo2RuPt.

Cell lengths 3.8613, 3.8613, 3.8967 Å; angles 90.00, 90.00, 90.00 degrees
Fractional coordinates of all 4 atoms:
Mo: 0.0000 0.5000 0.0000
Mo: 0.5000 0.0000 0.0000
Ru: 0.0000 0.0000 0.5000
Pt: 0.5000 0.5000 0.5000

Output
space-group type	P4/mmm
E above lowest polymorph	0.002	eV/atom

***

Entry 9:
DFT (meta-GGA SCAN) results for a PBEsol-optimized structure of Ba2MgAu.

Cell lengths 5.4988, 5.4988, 7.7921 Å; angles 90.00, 90.00, 90.00 degrees
Fractional coordinates of all 8 atoms:
Ba: 0.0000 0.0000 0.0000
Ba: 0.0000 0.5000 0.2500
Ba: 0.5000 0.0000 0.7500
Ba: 0.5000 0.5000 0.5000
Mg: 0.0000 0.0000 0.5000
Mg: 0.5000 0.5000 0.0000
Au: 0.0000 0.5000 0.7500
Au: 0.5000 0.0000 0.2500

Output
space-group type	I-4m2

***

Entry 10:
DFT (meta-GGA SCAN) results for a PBEsol-optimized structure of Mg2CoRe.

Cell lengths 3.7276, 3.7276, 8.4354 Å; angles 90.00, 90.00, 90.00 degrees
Fractional coordinates of all 8 atoms:
Mg: 0.0000 0.5000 0.2500
Mg: 0.0000 0.5000 0.7500
Mg: 0.5000 0.0000 0.2500
Mg: 0.5000 0.0000 0.7500
Co: 0.0000 0.0000 0.0000
Co: 0.5000 0.5000 0.5000
Re: 0.0000 0.0000 0.5000
Re: 0.5000 0.5000 0.0000

Output
space-group type	I4/mmm
E above lowest polymorph	0.223	eV/atom

***

Entry 11:
DFT (meta-GGA SCAN) results for a PBEsol-optimized structure of CaZrCd2.

Cell lengths 5.5443, 3.0486, 6.1721 Å; angles 90.00, 113.68, 90.00 degrees
Fractional coordinates of all 4 atoms:
Ca: 0.0000 0.0000 0.0000
Zr: 0.5000 0.5000 0.5000
Cd: 0.0000 0.0000 0.5000
Cd: 0.5000 0.5000 0.0000

Output
space-group type	P2/m

***

Entry 12:
DFT (meta-GGA SCAN) results for a PBEsol-optimized structure of Be2TlPb.

Cell lengths 3.8232, 3.8232, 10.4611 Å; angles 90.00, 90.00, 90.00 degrees
Fractional coordinates of all 8 atoms:
Be: 0.0000 0.0000 0.0000
Be: 0.0000 0.5000 0.2500
Be: 0.5000 0.0000 0.7500
Be: 0.5000 0.5000 0.5000
Tl: 0.0000 0.5000 0.7500
Tl: 0.5000 0.0000 0.2500
Pb: 0.0000 0.0000 0.5000
Pb: 0.5000 0.5000 0.0000

Output
space-group type	I-4m2

***

Entry 13:
DFT (meta-GGA SCAN) results for a PBEsol-optimized structure of Ba2InHg.

Cell lengths 8.2884, 8.2884, 8.2884 Å; angles 90.00, 90.00, 90.00 degrees
Fractional coordinates of all 16 atoms:
Ba: 0.2500 0.2500 0.2500
Ba: 0.2500 0.2500 0.7500
Ba: 0.2500 0.7500 0.2500
Ba: 0.2500 0.7500 0.7500
Ba: 0.7500 0.2500 0.2500
Ba: 0.7500 0.2500 0.7500
Ba: 0.7500 0.7500 0.2500
Ba: 0.7500 0.7500 0.7500
In: 0.0000 0.0000 0.0000
In: 0.0000 0.5000 0.5000
In: 0.5000 0.0000 0.5000
In: 0.5000 0.5000 0.0000
Hg: 0.0000 0.0000 0.5000
Hg: 0.0000 0.5000 0.0000
Hg: 0.5000 0.0000 0.0000
Hg: 0.5000 0.5000 0.5000

Output
space-group type	Fm-3m

***

Entry 14:
DFT (meta-GGA SCAN) results for a PBEsol-optimized structure of BeHg2Ir.

Cell lengths 2.8645, 3.5321, 13.7521 Å; angles 90.00, 90.00, 90.00 degrees
Fractional coordinates of all 8 atoms:
Be: 0.0000 0.0000 0.0000
Be: 0.5000 0.5000 0.5000
Hg: 0.0000 0.5000 0.1741
Hg: 0.0000 0.5000 0.8259
Hg: 0.5000 0.0000 0.3259
Hg: 0.5000 0.0000 0.6741
Ir: 0.0000 0.0000 0.5000
Ir: 0.5000 0.5000 0.0000

Output
space-group type	Immm

***

Entry 15:
DFT (meta-GGA SCAN) results for a PBEsol-optimized structure of RbGe2Ir.

Cell lengths 6.6627, 6.6627, 6.6627 Å; angles 90.00, 90.00, 90.00 degrees
Fractional coordinates of all 16 atoms:
Rb: 0.0000 0.0000 0.0000
Rb: 0.0000 0.5000 0.5000
Rb: 0.5000 0.0000 0.5000
Rb: 0.5000 0.5000 0.0000
Ge: 0.2500 0.2500 0.2500
Ge: 0.2500 0.2500 0.7500
Ge: 0.2500 0.7500 0.2500
Ge: 0.2500 0.7500 0.7500
Ge: 0.7500 0.2500 0.2500
Ge: 0.7500 0.2500 0.7500
Ge: 0.7500 0.7500 0.2500
Ge: 0.7500 0.7500 0.7500
Ir: 0.0000 0.0000 0.5000
Ir: 0.0000 0.5000 0.0000
Ir: 0.5000 0.0000 0.0000
Ir: 0.5000 0.5000 0.5000

Output
space-group type	Fm-3m

***

Entry 16:
DFT (meta-GGA SCAN) results for a PBEsol-optimized structure of NaCuCl2.

Cell lengths 4.1306, 4.1306, 20.9758 Å; angles 90.00, 90.00, 120.00 degrees
Fractional coordinates of all 12 atoms:
Na: 0.0000 0.0000 0.0000
Na: 0.3333 0.6667 0.6667
Na: 0.6667 0.3333 0.3333
Cu: 0.0000 0.0000 0.5000
Cu: 0.3333 0.6667 0.1667
Cu: 0.6667 0.3333 0.8333
Cl: 0.0000 0.0000 0.4009
Cl: 0.0000 0.0000 0.5991
Cl: 0.3333 0.6667 0.0676
Cl: 0.3333 0.6667 0.2657
Cl: 0.6667 0.3333 0.7343
Cl: 0.6667 0.3333 0.9324

Output
E_form (uncorrected)	-1.212	eV per atom
space-group type	R-3m
E above lowest polymorph	0.000	eV/atom

***

Entry 17:
DFT (meta-GGA SCAN) results for a PBEsol-optimized structure of K2LaSb.

Cell lengths 5.3927, 5.3927, 9.2628 Å; angles 90.00, 90.00, 90.00 degrees
Fractional coordinates of all 8 atoms:
K: 0.0000 0.0000 0.0000
K: 0.0000 0.5000 0.2500
K: 0.5000 0.0000 0.7500
K: 0.5000 0.5000 0.5000
La: 0.0000 0.0000 0.5000
La: 0.5000 0.5000 0.0000
Sb: 0.0000 0.5000 0.7500
Sb: 0.5000 0.0000 0.2500

Output
E_form (uncorrected)	-0.184	eV per atom
space-group type	I-4m2

***

Entry 18:
DFT (meta-GGA SCAN) results for a PBEsol-optimized structure of HfNiNO2.

Cell lengths 3.5581, 3.5581, 3.7403 Å; angles 90.00, 90.00, 90.00 degrees
Fractional coordinates of all 5 atoms:
Hf: 0.0000 0.0000 0.0000
Ni: 0.5000 0.5000 0.5000
N: 0.5000 0.5000 0.0000
O: 0.0000 0.5000 0.5000
O: 0.5000 0.0000 0.5000

Output
E_form (uncorrected)	-1.154	eV per atom
space-group type	P4/mmm

***

Entry 19:
DFT (meta-GGA SCAN) results for a PBEsol-optimized structure of SbAsWI2.

Cell lengths 5.3488, 5.3488, 5.5239 Å; angles 90.00, 90.00, 90.00 degrees
Fractional coordinates of all 5 atoms:
Sb: 0.0000 0.0000 0.0000
As: 0.0000 0.0000 0.5000
W: 0.5000 0.5000 0.0000
I: 0.0000 0.5000 0.5000
I: 0.5000 0.0000 0.5000

Output
E_form (uncorrected)	1.635	eV per atom
space-group type	P4/mmm

***

Entry 20:
DFT (meta-GGA SCAN) results for a PBEsol-optimized structure of CrCoNi6.

Cell lengths 6.0193, 6.0193, 9.8310 Å; angles 90.00, 90.00, 109.51 degrees
Fractional coordinates of all 32 atoms:
Cr: 0.0000 0.0000 0.2502
Cr: 0.0000 0.0000 0.7498
Cr: 0.2484 0.7516 0.0000
Cr: 0.7516 0.2484 0.0000
Co: 0.2471 0.7529 0.5000
Co: 0.5000 0.5000 0.2521
Co: 0.5000 0.5000 0.7479
Co: 0.7529 0.2471 0.5000
Ni: 0.0000 0.0000 0.0000
Ni: 0.0000 0.0000 0.5000
Ni: 0.1255 0.3758 0.1251
Ni: 0.1255 0.3758 0.8749
Ni: 0.1261 0.3766 0.3753
Ni: 0.1261 0.3766 0.6247
Ni: 0.2496 0.7504 0.2500
Ni: 0.2496 0.7504 0.7500
Ni: 0.3758 0.1255 0.1251
Ni: 0.3758 0.1255 0.8749
Ni: 0.3766 0.1261 0.3753
Ni: 0.3766 0.1261 0.6247
Ni: 0.5000 0.5000 0.0000
Ni: 0.5000 0.5000 0.5000
Ni: 0.6234 0.8739 0.3753
Ni: 0.6234 0.8739 0.6247
Ni: 0.6242 0.8745 0.1251
Ni: 0.6242 0.8745 0.8749
Ni: 0.7504 0.2496 0.2500
Ni: 0.7504 0.2496 0.7500
Ni: 0.8739 0.6234 0.3753
Ni: 0.8739 0.6234 0.6247
Ni: 0.8745 0.6242 0.1251
Ni: 0.8745 0.6242 0.8749

Output
space-group type	Cmmm

***

no.,DOS at the Fermi energy (states/eV per atom),VASP energy (eV for the cell shown)
1,0.65,-733.9
2,0.28,-226.0
3,0.60,-207.8
4,0.21,-112.6
5,0.37,-112.3
6,0.92,-207.5
7,0.00,-673.2
8,0.56,-175.8
9,0.69,-308.6
10,0.40,-193.7
11,0.83,-101.1
12,0.42,-307.6
13,0.75,-732.2
14,0.29,-423.3
15,0.33,-510.6
16,0.00,-120.7
17,0.71,-195.5
18,0.11,-106.4
19,1.03,-192.4
20,1.02,-530.9